[1]
{
  "formula": "CdNiIr2",
  "functional": "PBE",
  "state": "relaxed",
  "cell": [[4.861, 0.000, 0.000], [1.776, 4.525, 0.000], [-3.319, -2.263, 2.738]],
  "species": ["Ni", "Ir", "Cd", "Ir"],
  "fractional_positions": [[0.250, 0.750, 0.500], [0.500, 0.500, 0.000], [0.750, 0.250, 0.500], [0.000, 0.000, 0.000]],
  "spacegroup": "No. 139"
}


[2]
{
  "formula": "La8Sm3",
  "functional": "PBE",
  "state": "relaxed",
  "cell": [[5.228, 0.000, 0.000], [-2.614, 5.730, -1.265], [0.000, -0.621, 13.349]],
  "species": ["La", "La", "Sm", "La", "La", "La", "La", "La", "La", "Sm", "Sm"],
  "fractional_positions": [[0.273, 0.546, 0.910], [0.818, 0.636, 0.727], [0.909, 0.818, 0.365], [0.545, 0.091, 0.818], [0.637, 0.274, 0.454], [0.363, 0.726, 0.546], [0.182, 0.364, 0.273], [0.727, 0.454, 0.090], [0.455, 0.909, 0.182], [0.091, 0.182, 0.635], [0.000, 0.000, 0.000]],
  "spacegroup": "No. 12",
  "de_polymorph_ev_per_fu": 0.00
}


| no. | calculated formation energy (eV/f.u.) |
| --- | --- |
| 1 | 1.23 |
| 2 | 0.22 |